# 1
Ag2HgAu: optimized geometry, GGA-PBEsol.

Results
Mass density, g/cm3: 14.48
Formation enthalpy at 0 K, eV per atom: 0.001
SG: F-43m (216)
DOS at the Fermi energy, states/eV per cell: 0.73

Cell lengths 4.633, 4.633, 4.633 Å; angles 60.00, 60.00, 60.00 degrees
Atoms (fractional coordinates):
Au 0.500 0.500 0.500
Hg 0.750 0.750 0.750
Ag 0.000 0.000 0.000
Ag 0.250 0.250 0.250

# 2
AgHgAu: optimized geometry, GGA-PBEsol.

Results
Mass density, g/cm3: 15.57
Formation enthalpy at 0 K, eV per atom: 0.001
SG: Imm2 (44)
DOS at the Fermi energy, states/eV per cell: 0.84

Cell lengths 2.988, 4.093, 5.083 Å; angles 113.74, 107.10, 90.00 degrees
Atoms (fractional coordinates):
Au 0.664 0.664 0.328
Hg 0.334 0.334 0.668
Ag 0.002 0.002 0.005

# 3
Ag2HgAu: optimized geometry, GGA-PBEsol.

Results
Mass density, g/cm3: 14.50
Formation enthalpy at 0 K, eV per atom: -0.026
SG: I4/mmm (139)
DOS at the Fermi energy, states/eV per cell: 1.07

Cell lengths 4.152, 4.152, 5.021 Å; angles 114.42, 114.42, 90.00 degrees
Atoms (fractional coordinates):
Au 0.000 0.000 0.000
Hg 0.500 0.500 0.000
Ag 0.250 0.750 0.500
Ag 0.750 0.250 0.500

Number 1: DFT total energy -2.777 eV/atom. Number 2: DFT total energy -2.600 eV/atom. Number 3: DFT total energy -2.804 eV/atom.